Here is Tl2CdW at its PBEsol-relaxed geometry from the Alexandria database. Energies are from meta-GGA SCAN.

Cell lengths 2.8923, 2.8923, 10.6937 Å; angles 90.00, 90.00, 90.00 degrees
With the nearest neighbours (Å) after each atom.
Space group P4mm (No. 99)
Asymmetric unit:
Tl 0.0000 0.0000 0.0000  4 Tl 2.89
Tl 0.5000 0.5000 0.3131  4 Tl 2.89, 4 W 3.17
Cd 0.5000 0.5000 0.7379  4 Cd 2.89, 4 W 2.95
W 0.0000 0.0000 0.5393  4 W 2.89, 4 Cd 2.95, 4 Tl 3.17

Computed properties:
Polymorph energy (0 for the lowest one) in eV per atom: 0.000
DFT formation energy in meV per atom: 676
Mass density in g/cm³: 13.09
Fermi-level density of states in states/eV per cell: 2.4
VASP energy in Ry per atom: -4.4488
Total magnetization in Bohr magnetons per cell: 0.0

***

Here is TlCdW2 at its PBEsol-relaxed geometry from the Alexandria database. Energies are from meta-GGA SCAN.

Cell lengths 3.1928, 4.6854, 9.6018 Å; angles 90.00, 90.00, 90.00 degrees
With the nearest neighbours (Å) after each atom.
Space group Cmmm (No. 65)
Asymmetric unit:
Tl 0.0000 0.0000 0.0000  4 Tl 2.83, 4 W 2.89
Cd 0.0000 0.0000 0.5000  4 Cd 2.83, 4 W 2.88
W 0.0000 0.5000 0.2508  4 W 2.83, 2 Cd 2.88, 2 Tl 2.89

Computed properties:
Polymorph energy (0 for the lowest one) in eV per atom: 0.086
DFT formation energy in meV per atom: 976
Mass density in g/cm³: 15.83
Fermi-level density of states in states/eV per cell: 4.1
VASP energy in Ry per atom: -4.3777
Total magnetization in Bohr magnetons per cell: 0.0

***

Here is Tl2CdW at its PBEsol-relaxed geometry from the Alexandria database. Energies are from meta-GGA SCAN.

Cell lengths 6.9587, 6.9587, 6.9587 Å; angles 90.00, 90.00, 90.00 degrees
With the nearest neighbours (Å) after each atom.
Space group Fm-3m (No. 225)
Asymmetric unit:
Tl 0.2500 0.2500 0.2500  4 Cd 3.01, 4 W 3.01
Cd 0.0000 0.0000 0.0000  8 Tl 3.01
W 0.0000 0.0000 0.5000  8 Tl 3.01

Computed properties:
Polymorph energy (0 for the lowest one) in eV per atom: 0.481
DFT formation energy in meV per atom: 1158
Mass density in g/cm³: 13.90
Fermi-level density of states in states/eV per cell: 11.6
VASP energy in Ry per atom: -4.4134
Total magnetization in Bohr magnetons per cell: 10.7